[1]
! AlSb2Br | Alexandria via LeMat-Bulk | PBE | optimized geometry; values from VASP
! Formation energy from raw total energies = 0.150 eV per atom
&SYSTEM
  ibrav = 0, nat = 4, ntyp = 3
/
ATOMIC_SPECIES
Al 26.98 Al.upf
Sb 121.76 Sb.upf
Br 79.90 Br.upf
CELL_PARAMETERS angstrom
0.000 3.710 3.710
3.710 0.000 3.710
3.710 3.710 0.000
ATOMIC_POSITIONS crystal
Al 0.000 0.000 0.000
Sb 0.500 0.500 0.500
Sb 0.750 0.750 0.750
Br 0.250 0.250 0.250



[2]
! CsRb2OsO6 | Alexandria via LeMat-Bulk | PBE | optimized geometry; values from VASP
! Formation energy from raw total energies = -1.204 eV per atom
&SYSTEM
  ibrav = 0, nat = 10, ntyp = 4
/
ATOMIC_SPECIES
Cs 132.91 Cs.upf
Rb 85.47 Rb.upf
Os 190.23 Os.upf
O 16.00 O.upf
CELL_PARAMETERS angstrom
3.399 1.963 5.240
-3.399 1.963 5.240
0.000 -3.925 5.240
ATOMIC_POSITIONS crystal
Cs 0.000 0.000 0.000
Rb 0.260 0.260 0.260
Rb 0.739 0.739 0.739
Os 0.498 0.498 0.498
O 0.219 0.655 0.392
O 0.315 0.599 0.766
O 0.392 0.219 0.655
O 0.599 0.766 0.315
O 0.655 0.392 0.219
O 0.766 0.315 0.599



[3]
! AcPr6Tl2 | Alexandria via LeMat-Bulk | PBE | optimized geometry; values from VASP
! ΔE_f = -0.146 eV per atom
&SYSTEM
  ibrav = 0, nat = 9, ntyp = 3
/
ATOMIC_SPECIES
Ac 227.00 Ac.upf
Pr 140.91 Pr.upf
Tl 204.38 Tl.upf
CELL_PARAMETERS angstrom
6.760 -1.972 0.000
6.760 1.972 0.000
-3.845 0.000 11.816
ATOMIC_POSITIONS crystal
Ac 0.000 0.000 0.000
Pr 0.007 0.007 0.342
Pr 0.309 0.309 0.128
Pr 0.311 0.311 0.419
Pr 0.689 0.689 0.581
Pr 0.691 0.691 0.872
Pr 0.993 0.993 0.658
Tl 0.354 0.354 0.776
Tl 0.646 0.646 0.224



[4]
! Ba3Sr12Nd | Alexandria via LeMat-Bulk | PBE | optimized geometry; values from VASP
! ΔE_f = 0.038 eV per atom
&SYSTEM
  ibrav = 0, nat = 16, ntyp = 3
/
ATOMIC_SPECIES
Ba 137.33 Ba.upf
Sr 87.62 Sr.upf
Nd 144.24 Nd.upf
CELL_PARAMETERS angstrom
6.575 0.000 0.000
0.000 6.575 0.000
0.000 0.000 19.762
ATOMIC_POSITIONS crystal
Ba 0.000 0.000 0.000
Ba 0.000 0.000 0.262
Ba 0.000 0.000 0.738
Sr 0.000 0.500 0.129
Sr 0.000 0.500 0.389
Sr 0.000 0.500 0.611
Sr 0.000 0.500 0.871
Sr 0.500 0.000 0.129
Sr 0.500 0.000 0.389
Sr 0.500 0.000 0.611
Sr 0.500 0.000 0.871
Sr 0.500 0.500 0.000
Sr 0.500 0.500 0.258
Sr 0.500 0.500 0.500
Sr 0.500 0.500 0.742
Nd 0.000 0.000 0.500



[5]
! Nd8AlTl2 | Alexandria via LeMat-Bulk | PBE | optimized geometry; values from VASP
! ΔE_f = -0.183 eV per atom
&SYSTEM
  ibrav = 0, nat = 11, ntyp = 3
/
ATOMIC_SPECIES
Nd 144.24 Nd.upf
Al 26.98 Al.upf
Tl 204.38 Tl.upf
CELL_PARAMETERS angstrom
9.354 -2.755 0.000
9.354 2.755 0.000
-0.123 0.000 6.802
ATOMIC_POSITIONS crystal
Nd 0.029 0.029 0.265
Nd 0.212 0.212 0.099
Nd 0.334 0.334 0.588
Nd 0.411 0.411 0.085
Nd 0.589 0.589 0.915
Nd 0.666 0.666 0.412
Nd 0.788 0.788 0.901
Nd 0.971 0.971 0.735
Al 0.500 0.500 0.500
Tl 0.157 0.157 0.651
Tl 0.843 0.843 0.349



[6]
Material: Zr2H3
Method: DFT, PBE
State: optimized geometry Values from VASP.

Cell and atoms, written as Quantum ESPRESSO input:
```
&SYSTEM
  ibrav = 0, nat = 5, ntyp = 2
/
ATOMIC_SPECIES
Zr 91.22 Zr.upf
H 1.01 H.upf
CELL_PARAMETERS angstrom
3.355 0.000 0.000
0.000 3.355 0.000
0.000 0.000 4.835
ATOMIC_POSITIONS crystal
Zr 0.000 0.500 0.241
Zr 0.500 0.000 0.759
H 0.000 0.000 0.500
H 0.500 0.500 0.000
H 0.500 0.500 0.500
```



[7]
! ZrCr3Pt | Alexandria via LeMat-Bulk | PBE | optimized geometry; values from VASP
! ΔE_f = 1.955 eV per atom
&SYSTEM
  ibrav = 0, nat = 5, ntyp = 3
/
ATOMIC_SPECIES
Zr 91.22 Zr.upf
Cr 52.00 Cr.upf
Pt 195.08 Pt.upf
CELL_PARAMETERS angstrom
4.426 0.000 0.000
0.000 4.426 0.000
0.000 0.000 4.426
ATOMIC_POSITIONS crystal
Zr 0.000 0.000 0.000
Cr 0.000 0.000 0.500
Cr 0.000 0.500 0.000
Cr 0.500 0.000 0.000
Pt 0.500 0.500 0.500



[8]
! LiAcTl3 | Alexandria via LeMat-Bulk | PBE | optimized geometry; values from VASP
! ΔE_f = -0.191 eV per atom
&SYSTEM
  ibrav = 0, nat = 5, ntyp = 3
/
ATOMIC_SPECIES
Li 6.94 Li.upf
Ac 227.00 Ac.upf
Tl 204.38 Tl.upf
CELL_PARAMETERS angstrom
5.214 0.000 0.000
0.000 5.214 0.000
0.000 0.000 5.214
ATOMIC_POSITIONS crystal
Li 0.000 0.000 0.000
Ac 0.500 0.500 0.500
Tl 0.000 0.000 0.500
Tl 0.000 0.500 0.000
Tl 0.500 0.000 0.000



no.,magnetic moment (Bohr magnetons per cell),density (g cm⁻³),energy (eV per atom)
1,0.0,5.7,-3.26
2,1.0,4.7,-5.58
3,0.0,7.8,-4.31
4,0.0,3.1,-1.88
5,0.0,7.5,-4.42
6,0.0,5.7,-5.93
7,0.0,8.5,-6.74
8,0.0,9.9,-2.82